1.
This record from the Alexandria database describes a relaxed Rb2ScAlF6 crystal. The functional is PBE-GGA.

Properties
E_form (uncorrected): -2.97 eV/atom
Density of states at the Fermi level: 0.00 states/eV per cell
Magnetic moment: 0.00 μB/f.u.

extended XYZ file:
```
10
Lattice="6.395 0.000 0.000 0.000 6.395 0.000 3.197 3.197 4.540" Properties=species:S:1:pos:R:3 pbc="T T T"
Sc 0.000 0.000 0.000
Al 3.197 3.197 0.000
Rb 6.395 3.197 2.270
Rb 3.197 6.395 2.270
F 3.197 3.197 2.498
F 6.395 6.395 2.042
F 1.445 1.445 0.000
F 4.950 4.950 0.000
F 4.950 1.445 0.000
F 1.445 4.950 0.000
```



2.
This record from the Alexandria database describes a relaxed RbAl2SiF crystal. The functional is PBE-GGA.

Properties
E_form (uncorrected): -0.24 eV/atom
Density of states at the Fermi level: 1.58 states/eV per cell
Magnetic moment: 0.00 μB/f.u.

extended XYZ file:
```
5
Lattice="4.734 0.000 0.000 0.000 7.609 0.000 0.000 0.000 4.734" Properties=species:S:1:pos:R:3 pbc="T T T"
Si 0.000 0.000 0.000
Al 0.000 0.000 2.367
Al 2.367 0.000 0.000
Rb 0.000 3.804 0.000
F 2.367 3.804 2.367
```



3.
This record from the Alexandria database describes a relaxed Rb2AlSiF6 crystal. The functional is PBE-GGA.

Properties
E_form (uncorrected): -2.59 eV/atom
Density of states at the Fermi level: 7.53 states/eV per cell
Magnetic moment: 1.00 μB/f.u.

extended XYZ file:
```
10
Lattice="-2.967 -5.919 0.797 5.933 -3.024 -0.369 1.889 -4.150 4.114" Properties=species:S:1:pos:R:3 pbc="T T T"
Si 0.000 0.000 0.000
Al 1.483 -4.472 0.214
Rb 0.202 -7.271 2.562
Rb 4.652 -5.823 1.980
F 1.681 -4.315 2.119
F 3.174 -8.779 2.423
F 0.914 -2.756 0.132
F 2.052 -6.187 0.296
F -0.224 -5.027 0.438
F 3.190 -3.916 -0.009
```



4.
This record from the Alexandria database describes a relaxed RbAl2SnF8 crystal. The functional is PBE-GGA.

Properties
E_form (uncorrected): -2.92 eV/atom
Density of states at the Fermi level: 1.52 states/eV per cell
Magnetic moment: 0.70 μB/f.u.

extended XYZ file:
```
12
Lattice="5.128 0.000 0.000 2.564 4.441 0.000 2.564 1.480 9.919" Properties=species:S:1:pos:R:3 pbc="T T T"
Rb 5.128 2.960 4.960
Al 2.564 1.480 2.574
Al 7.691 4.441 7.345
Sn 0.000 0.000 0.000
F 2.564 1.480 4.287
F 4.193 1.431 2.097
F 7.691 4.441 5.632
F 6.919 2.916 2.097
F 3.336 3.005 7.822
F 4.270 4.534 2.097
F 5.985 1.387 7.822
F 6.062 4.489 7.822
```



5.
This record from the Alexandria database describes a relaxed Rb2AlSnF6 crystal. The functional is PBE-GGA.

Properties
E_form (uncorrected): -2.73 eV/atom
E above lowest polymorph: 30 meV per atom
Magnetic moment: 1.00 μB/f.u.

extended XYZ file:
```
20
Lattice="6.099 0.000 0.000 0.000 7.576 0.000 0.000 0.000 8.208" Properties=species:S:1:pos:R:3 pbc="T T T"
Rb 3.049 6.112 1.986
Rb 0.000 1.463 6.090
Rb 3.049 6.112 6.222
Rb 0.000 1.463 2.118
Al 3.049 1.583 4.104
Al 0.000 5.992 0.000
Sn 0.000 5.222 4.104
Sn 3.049 2.353 0.000
F 3.049 1.530 2.208
F 3.049 1.530 6.000
F 0.000 6.045 1.896
F 0.000 6.045 6.311
F 1.768 0.253 4.104
F 4.331 0.253 4.104
F 1.716 2.809 4.104
F 4.382 2.809 4.104
F 4.766 4.767 0.000
F 1.333 4.767 0.000
F 1.282 7.322 0.000
F 4.817 7.322 0.000
```



6.
This record from the Alexandria database describes a relaxed RbAlSnF2 crystal. The functional is PBE-GGA.

Properties
E_form (uncorrected): -1.24 eV/atom
Density of states at the Fermi level: 2.59 states/eV per cell
Magnetic moment: 0.00 μB/f.u.

extended XYZ file:
```
5
Lattice="4.488 0.000 0.000 0.000 5.372 0.000 0.000 0.000 4.488" Properties=species:S:1:pos:R:3 pbc="T T T"
F 0.000 0.000 2.244
F 2.244 0.000 0.000
Sn 0.000 2.686 0.000
Rb 2.244 2.686 2.244
Al 0.000 0.000 0.000
```



7.
This record from the Alexandria database describes a relaxed Rb2AlSnF6 crystal. The functional is PBE-GGA.

Properties
E_form (uncorrected): -2.76 eV/atom
E above lowest polymorph: 0 meV per atom
Density of states at the Fermi level: 0.00 states/eV per cell
Magnetic moment: 1.00 μB/f.u.

extended XYZ file:
```
10
Lattice="-1.053 5.837 -0.878 -4.149 -0.097 4.328 1.125 4.083 5.323" Properties=species:S:1:pos:R:3 pbc="T T T"
F -1.330 3.284 2.952
F -2.746 6.539 5.821
F -1.466 1.617 0.972
F -3.736 4.123 2.478
F -1.925 4.165 0.589
F -3.276 1.575 2.861
Sn 0.000 0.000 0.000
Rb -1.264 6.395 3.085
Rb -2.812 3.428 5.688
Al -2.601 2.870 1.725
```



8.
This record from the Alexandria database describes a relaxed RbAlSn2F8 crystal. The functional is PBE-GGA.

Properties
E_form (uncorrected): -2.79 eV/atom
Density of states at the Fermi level: 0.00 states/eV per cell
Magnetic moment: 0.00 μB/f.u.

extended XYZ file:
```
12
Lattice="5.664 0.226 -0.376 0.261 5.221 0.194 -0.610 0.306 7.377" Properties=species:S:1:pos:R:3 pbc="T T T"
Rb -0.305 0.153 3.689
Al 0.000 0.000 0.000
Sn 2.797 3.031 5.594
Sn 2.518 2.723 1.602
F 0.675 3.968 1.538
F 4.077 4.593 6.455
F 4.394 0.916 0.689
F 4.640 1.786 5.657
F 1.238 1.161 0.740
F 0.921 4.838 6.506
F 3.455 3.908 3.796
F 1.860 1.845 3.399
```



9.
This record from the Alexandria database describes a relaxed Rb2SrAlF6 crystal. The functional is PBE-GGA.

Properties
E_form (uncorrected): -3.04 eV/atom
Density of states at the Fermi level: 2.03 states/eV per cell
Magnetic moment: 0.00 μB/f.u.

extended XYZ file:
```
10
Lattice="-1.946 2.971 -5.242 0.549 -5.399 -3.263 -4.938 -2.244 -3.262" Properties=species:S:1:pos:R:3 pbc="T T T"
Sr 0.000 0.000 0.000
Al -0.699 -1.214 -4.253
Rb -3.792 -0.244 -6.379
Rb -2.544 -4.428 -5.389
F -2.490 -1.649 -3.834
F -3.846 -3.023 -7.933
F -0.404 -0.702 -2.459
F -0.993 -1.726 -6.046
F -1.225 0.551 -4.670
F -0.173 -2.979 -3.835
```



10.
This record from the Alexandria database describes a relaxed RbSrAl2F8 crystal. The functional is PBE-GGA.

Properties
E_form (uncorrected): -3.27 eV/atom
Density of states at the Fermi level: 1.75 states/eV per cell
Magnetic moment: 0.00 μB/f.u.

extended XYZ file:
```
12
Lattice="-3.743 0.823 4.037 -3.428 -4.122 1.499 3.816 -3.955 8.181" Properties=species:S:1:pos:R:3 pbc="T T T"
Rb -1.678 -3.627 6.859
Sr 0.000 0.000 0.000
Al -0.922 -1.775 3.345
Al -2.433 -5.479 10.373
F 0.210 -2.296 4.501
F -2.378 -1.238 4.098
F -3.565 -4.958 9.217
F -1.332 -3.050 2.256
F -2.023 -4.205 11.461
F -0.299 -0.466 2.410
F -3.056 -6.789 11.308
F -0.977 -6.016 9.620
```



11.
This record from the Alexandria database describes a relaxed Rb2TaAlF6 crystal. The functional is PBE-GGA.

Properties
E_form (uncorrected): -2.34 eV/atom
Density of states at the Fermi level: 10.51 states/eV per cell
Magnetic moment: 2.00 μB/f.u.

extended XYZ file:
```
10
Lattice="-5.941 0.260 -2.532 -0.355 -6.452 0.169 -4.936 -2.887 3.035" Properties=species:S:1:pos:R:3 pbc="T T T"
F -4.120 -2.982 1.112
F -7.112 -6.096 -0.440
F -1.447 -1.423 -0.543
F -4.849 -4.769 -1.820
F -4.658 -1.282 -1.912
F -1.638 -4.909 -0.452
Al -3.148 -3.096 -1.182
Rb -7.013 -2.861 -0.339
Rb -4.219 -6.217 1.011
Ta 0.000 0.000 0.000
```



12.
This record from the Alexandria database describes a relaxed Rb2Tb3AlF16 crystal. The functional is PBE-GGA.

Properties
E_form (uncorrected): -3.42 eV/atom
Density of states at the Fermi level: 44.87 states/eV per cell
Magnetic moment: 2.25 μB/f.u.

extended XYZ file:
```
44
Lattice="7.806 0.000 0.000 -3.903 6.760 0.000 0.000 0.000 12.764" Properties=species:S:1:pos:R:3 pbc="T T T"
Al 0.000 0.000 0.000
Al 0.000 0.000 6.382
F 5.677 1.229 9.573
F 2.129 1.229 9.573
F 3.903 4.302 9.573
F -1.774 5.531 3.191
F 1.774 5.531 3.191
F 0.000 2.458 3.191
F 0.000 1.514 11.744
F -2.592 6.004 11.744
F 2.592 6.004 11.744
F 3.903 5.247 5.362
F 6.495 0.757 5.362
F 1.311 0.757 5.362
F 3.903 5.247 1.020
F 1.311 0.757 1.020
F 6.495 0.757 1.020
F 0.000 1.514 7.402
F 2.592 6.004 7.402
F -2.592 6.004 7.402
F 3.903 0.672 1.968
F 2.534 3.044 1.968
F 5.272 3.044 1.968
F 0.000 6.088 8.350
F 1.369 3.716 8.350
F -1.369 3.716 8.350
F 0.000 6.088 10.796
F -1.369 3.716 10.796
F 1.369 3.716 10.796
F 3.903 0.672 4.414
F 5.272 3.044 4.414
F 2.534 3.044 4.414
F 0.000 0.000 9.573
F 0.000 0.000 3.191
Rb 0.000 4.507 0.869
Rb 3.903 2.253 7.251
Rb 3.903 2.253 11.896
Rb 0.000 4.507 5.514
Tb 1.936 5.625 9.573
Tb 0.000 2.271 9.573
Tb -1.936 5.625 9.573
Tb 1.967 1.136 3.191
Tb 3.903 4.489 3.191
Tb 5.839 1.136 3.191
```



| no. | E (eV per cell) |
| --- | --- |
| 1 | -52.9 |
| 2 | -17.0 |
| 3 | -48.2 |
| 4 | -62.4 |
| 5 | -96.5 |
| 6 | -18.7 |
| 7 | -48.6 |
| 8 | -61.2 |
| 9 | -49.0 |
| 10 | -64.3 |
| 11 | -52.2 |
| 12 | -249.6 |